Record 1
ScCoOs2, relaxed, DFT GGA-PBE; total magnetization = 0.0 μB/cell; E_form = 0.001 eV/atom; space-group type = No. 71; offset from the most stable computed form = 1.07 kcal/mol of atoms
1.0
-2.923 3.367 3.365
-5.124 -1.051 1.961
5.416 -1.269 -0.511
Os Co Sc
2 1 1
direct
0.464 0.464 0.000 Os
0.036 0.036 0.000 Os
0.250 0.750 0.500 Co
0.750 0.250 0.500 Sc

***

Record 2
Pb2SeCl, relaxed, DFT GGA-PBE; total magnetization = 0.0 μB/cell; space-group type = No. 123; offset from the most stable computed form = 2.95 kcal/mol of atoms
1.0
-0.053 -3.678 3.775
4.840 1.458 1.491
-1.514 2.528 2.443
Pb Se Cl
2 1 1
direct
0.500 0.500 0.000 Pb
0.000 0.000 0.000 Pb
0.500 0.000 0.500 Se
0.000 0.500 0.500 Cl